# 1
This record from Alexandria via LeMat-Bulk describes a geometry-optimized Hf4CdN structure. The functional is PBE-GGA.

```
Hf4CdN
1.0
-1.1802 -2.5516 4.2304
-2.5170 -4.8882 -3.6505
8.1957 -0.7796 1.8162
Hf Cd N
8 2 2
direct
0.2500 0.8129 0.1151 Hf
0.2500 0.3129 0.1151 Hf
0.7612 0.6159 0.2245 Hf
0.2612 0.8841 0.7755 Hf
0.7388 0.1159 0.2245 Hf
0.2388 0.3841 0.7755 Hf
0.7500 0.6871 0.8849 Hf
0.7500 0.1871 0.8849 Hf
0.0000 0.5000 0.5000 Cd
0.5000 0.0000 0.5000 Cd
0.5000 0.5000 0.0000 N
0.0000 0.0000 0.0000 N
```

Formation energy from raw total energies = -0.347 eV/atom

# 2
This record from Alexandria via LeMat-Bulk describes a geometry-optimized YHfAu6 structure. The functional is PBE-GGA.

```
YHfAu6
1.0
4.2717 -0.0001 1.1661
2.0167 4.5305 1.0195
0.1063 -0.3855 8.0177
Y Hf Au
1 1 6
direct
0.0000 0.5000 0.5000 Y
0.0000 0.0000 0.0000 Hf
0.2478 0.8649 0.6396 Au
0.5091 0.2295 0.7522 Au
0.2523 0.3815 0.1139 Au
0.4909 0.7705 0.2478 Au
0.7522 0.1351 0.3604 Au
0.7477 0.6185 0.8861 Au
```

Formation energy from the elements = -417 kJ/mol of formula units

# 3
This record from Alexandria via LeMat-Bulk describes a geometry-optimized Fe2PtSe structure. The functional is PBE-GGA.

```
Fe2PtSe
1.0
4.3628 0.0000 0.0000
2.1814 3.7783 0.0000
2.1814 1.2594 3.5622
Fe Pt Se
2 1 1
direct
0.0000 0.0000 0.0000 Fe
0.2500 0.2500 0.2500 Fe
0.5000 0.5000 0.5000 Pt
0.7500 0.7500 0.7500 Se
```

Formation energy from raw total energies = 0.289 eV/atom

# 4
This record from Alexandria via LeMat-Bulk describes a geometry-optimized Na3Dy2BiS6 structure. The functional is PBE-GGA.

```
Na3Dy2BiS6
1.0
6.9640 -0.0010 -0.0002
-3.4811 6.0315 -0.0002
-1.1621 -2.0121 6.7047
Na Dy Bi S
3 2 1 6
direct
0.1633 0.8367 0.5000 Na
0.8367 0.1633 0.5000 Na
0.5000 0.5000 0.5000 Na
0.3329 0.6671 0.0000 Dy
0.6671 0.3329 0.0000 Dy
0.0000 0.0000 0.0000 Bi
0.9234 0.5820 0.7706 S
0.7351 0.7351 0.2294 S
0.0766 0.4180 0.2294 S
0.5820 0.9234 0.7706 S
0.2649 0.2649 0.7706 S
0.4180 0.0766 0.2294 S
```

Formation energy from raw total energies = -1.484 eV/atom

# 5
This record from Alexandria via LeMat-Bulk describes a geometry-optimized LaTiSb3 structure. The functional is PBE-GGA.

```
LaTiSb3
1.0
-1.3259 3.9786 3.2171
2.6231 -2.3248 3.9562
4.3930 2.5890 -1.3913
Sb Ti La
3 1 1
direct
0.0000 0.5000 0.0000 Sb
0.0000 0.0000 0.5000 Sb
0.5000 0.0000 0.0000 Sb
0.0000 0.0000 0.0000 Ti
0.5000 0.5000 0.5000 La
```

Formation energy from raw total energies = -0.363 eV/atom

# 6
This record from Alexandria via LeMat-Bulk describes a geometry-optimized Na4Tm3SbS8 structure. The functional is PBE-GGA.

```
Na4Tm3SbS8
1.0
7.9073 0.0000 0.0000
0.0000 8.0848 0.1164
-3.9537 -3.9496 5.5944
Na Tm Sb S
4 3 1 8
direct
0.5000 0.0000 0.0000 Na
0.5000 0.0000 0.5000 Na
0.0000 0.0000 0.0000 Na
0.0000 0.0000 0.5000 Na
0.5000 0.5000 0.0000 Tm
0.5000 0.5000 0.5000 Tm
0.0000 0.5000 0.5000 Tm
0.0000 0.5000 0.0000 Sb
0.2438 0.7251 0.9814 S
0.2438 0.7251 0.4877 S
0.2588 0.2766 0.5177 S
0.7375 0.7251 0.9814 S
0.2625 0.2749 0.0186 S
0.7412 0.7234 0.4823 S
0.7562 0.2749 0.5123 S
0.7562 0.2749 0.0186 S
```

Formation energy from raw total energies = -1.555 eV/atom

# 7
This record from Alexandria via LeMat-Bulk describes a geometry-optimized Pm2Er4Tm5 structure. The functional is PBE-GGA.

```
Pm2Er4Tm5
1.0
3.4851 -0.5095 -0.0411
-2.2976 8.8226 -1.9403
1.8383 -0.4878 11.5244
Pm Er Tm
2 4 5
direct
0.8628 0.2715 0.8172 Pm
0.1372 0.7285 0.1828 Pm
0.7717 0.4536 0.3644 Er
0.3146 0.3610 0.0929 Er
0.2283 0.5464 0.6356 Er
0.6854 0.6390 0.9071 Er
0.9558 0.0922 0.2736 Tm
0.0442 0.9078 0.7264 Tm
0.5901 0.8184 0.4562 Tm
0.5000 0.0000 0.0000 Tm
0.4099 0.1816 0.5438 Tm
```

Formation energy from the elements = 25 kJ/mol of formula units

# 8
This record from Alexandria via LeMat-Bulk describes a geometry-optimized PmNdTl2Se4 structure. The functional is PBE-GGA.

```
PmNdTl2Se4
1.0
-1.0033 0.5066 -4.1630
-7.0960 -1.7809 1.4934
0.7605 8.0681 0.7985
Pm Nd Tl Se
1 1 2 4
direct
0.0000 0.0000 0.0000 Pm
0.5000 0.5000 0.0000 Nd
0.5000 0.0000 0.5000 Tl
0.0000 0.5000 0.5000 Tl
0.5000 0.2350 0.2099 Se
0.5000 0.7650 0.7901 Se
0.0000 0.2616 0.7894 Se
0.0000 0.7384 0.2106 Se
```

Formation energy from raw total energies = -1.382 eV/atom

# 9
This record from Alexandria via LeMat-Bulk describes a geometry-optimized CaTl2Pb structure. The functional is PBE-GGA.

```
CaTl2Pb
1.0
6.5848 -0.0153 -0.0102
3.0985 5.8103 0.0102
-4.2060 -3.9597 3.1608
Pb Tl Ca
1 2 1
direct
0.2500 0.7500 0.5000 Pb
0.0019 0.0019 0.0000 Tl
0.4981 0.4981 0.0000 Tl
0.7500 0.2500 0.5000 Ca
```

Formation energy from the elements = -89 kJ/mol of formula units

# 10
This record from Alexandria via LeMat-Bulk describes a geometry-optimized Li2SmAg structure. The functional is PBE-GGA.

```
Li2SmAg
1.0
3.3642 0.0000 0.0000
0.0000 3.3642 0.0000
0.0000 0.0000 7.4373
Ag Sm Li
1 1 2
direct
0.5000 0.5000 0.0000 Ag
0.5000 0.5000 0.5000 Sm
0.0000 0.0000 0.8153 Li
0.0000 0.0000 0.1847 Li
```

Formation energy from the elements = -13 kJ/mol of formula units

# 11
This record from Alexandria via LeMat-Bulk describes a geometry-optimized Ac3Ga3Co2 structure. The functional is PBE-GGA.

```
Ac3Ga3Co2
1.0
-0.0527 -3.5918 -1.8689
2.8301 4.1784 -3.7234
14.1511 -3.6644 6.6438
Ac Ga Co
6 6 4
direct
0.9382 0.8765 0.3968 Ac
0.0618 0.1235 0.8968 Ac
0.9382 0.8765 0.1032 Ac
0.0618 0.1235 0.6032 Ac
0.6622 0.3244 0.2500 Ac
0.3378 0.6756 0.7500 Ac
0.6749 0.3497 0.4628 Ga
0.3251 0.6503 0.9628 Ga
0.6749 0.3497 0.0372 Ga
0.3251 0.6503 0.5372 Ga
0.3662 0.7324 0.2500 Ga
0.6338 0.2676 0.7500 Ga
0.7598 0.5197 0.8861 Co
0.2402 0.4803 0.3861 Co
0.7598 0.5197 0.6139 Co
0.2402 0.4803 0.1139 Co
```

Formation energy from the elements = -267 kJ/mol of formula units

# 12
This record from Alexandria via LeMat-Bulk describes a geometry-optimized Tm2PuHg structure. The functional is PBE-GGA.

```
Tm2PuHg
1.0
3.4980 0.0000 0.0000
1.7490 3.0293 0.0000
1.7490 1.0098 10.4303
Tm Hg Pu
2 1 1
direct
0.2559 0.2559 0.2323 Tm
0.7441 0.7441 0.7677 Tm
0.0000 0.0000 0.0000 Hg
0.5000 0.5000 0.5000 Pu
```

Formation energy from the elements = -32 kJ/mol of formula units

Repeat the third record exactly.
This record from Alexandria via LeMat-Bulk describes a geometry-optimized Fe2PtSe structure. The functional is PBE-GGA.

```
Fe2PtSe
1.0
4.3628 0.0000 0.0000
2.1814 3.7783 0.0000
2.1814 1.2594 3.5622
Fe Pt Se
2 1 1
direct
0.0000 0.0000 0.0000 Fe
0.2500 0.2500 0.2500 Fe
0.5000 0.5000 0.5000 Pt
0.7500 0.7500 0.7500 Se
```

Formation energy from raw total energies = 0.289 eV/atom